No. 1
TiWAu | PBE | optimized geometry

Cell: 3.825 3.825 8.125 Å, 90.00 90.00 90.00°
Atoms (fractional coordinates):
Ti (0.250, 0.250, 0.242)
Ti (0.750, 0.750, 0.758)
W (0.250, 0.750, 0.000)
W (0.750, 0.250, 0.000)
Au (0.250, 0.750, 0.500)
Au (0.750, 0.250, 0.500)

- density of states at the Fermi level (states/eV per atom) = 1.286
- total energy (Ry/atom) = -0.5593

---

No. 2
PmPrInHg | PBE | optimized geometry

Cell: 7.743 7.743 7.743 Å, 90.00 90.00 90.00°
Atoms (fractional coordinates):
Pm (0.000, 0.000, 0.000)
Pm (0.000, 0.500, 0.500)
Pm (0.500, 0.000, 0.500)
Pm (0.500, 0.500, 0.000)
Pr (0.000, 0.000, 0.500)
Pr (0.000, 0.500, 0.000)
Pr (0.500, 0.000, 0.000)
Pr (0.500, 0.500, 0.500)
In (0.250, 0.250, 0.250)
In (0.250, 0.750, 0.750)
In (0.750, 0.250, 0.750)
In (0.750, 0.750, 0.250)
Hg (0.250, 0.250, 0.750)
Hg (0.250, 0.750, 0.250)
Hg (0.750, 0.250, 0.250)
Hg (0.750, 0.750, 0.750)

- density of states at the Fermi level (states/eV per atom) = 1.202
- total energy (Ry/atom) = -0.2657

---

No. 3
RbTcNO2 | PBE | optimized geometry

Cell: 4.035 4.035 3.906 Å, 90.00 90.00 90.00°
Atoms (fractional coordinates):
Rb (0.000, 0.000, 0.000)
Tc (0.500, 0.500, 0.500)
N (0.500, 0.500, 0.000)
O (0.000, 0.500, 0.500)
O (0.500, 0.000, 0.500)

- density of states at the Fermi level (states/eV per atom) = 0.339
- formation energy without anion corrections (eV/f.u.) = -4.0

---

No. 4
NaAlNiP2 | PBE | optimized geometry

Cell: 4.563 4.563 4.489 Å, 90.00 90.00 90.00°
Atoms (fractional coordinates):
Na (0.000, 0.000, 0.000)
Al (0.500, 0.500, 0.000)
Ni (0.500, 0.500, 0.500)
P (0.000, 0.500, 0.500)
P (0.500, 0.000, 0.500)

- density of states at the Fermi level (states/eV per atom) = 0.662
- total energy (Ry/atom) = -0.3047

---

No. 5
Na2SrInF8 | PBE | optimized geometry

Cell: 3.990 7.795 5.516 Å, 90.00 90.07 90.00°
Atoms (fractional coordinates):
Na (0.000, 0.240, 0.000)
Na (0.000, 0.760, 0.000)
Sr (0.500, 0.500, 0.500)
In (0.500, 0.000, 0.500)
F (0.000, 0.500, 0.240)
F (0.000, 0.500, 0.760)
F (0.001, 0.000, 0.279)
F (0.499, 0.219, 0.738)
F (0.499, 0.781, 0.738)
F (0.501, 0.219, 0.262)
F (0.501, 0.781, 0.262)
F (0.999, 0.000, 0.721)

- density of states at the Fermi level (states/eV per atom) = 0.962
- formation energy without anion corrections (eV/f.u.) = -32.6

---

No. 6
AcTbBi2 | PBE | optimized geometry

Cell: 8.123 4.694 8.109 Å, 90.00 109.55 90.00°
Atoms (fractional coordinates):
Ac (0.000, 0.000, 0.000)
Ac (0.500, 0.500, 0.000)
Tb (0.000, 0.500, 0.500)
Tb (0.500, 0.000, 0.500)
Bi (0.243, 0.000, 0.728)
Bi (0.257, 0.500, 0.272)
Bi (0.743, 0.500, 0.728)
Bi (0.757, 0.000, 0.272)

- ΔE to the lowest computed polymorph (meV/atom) = 0
- density of states at the Fermi level (states/eV per atom) = 0.149